[1]
Entry from the Alexandria database: crystalline P2PtI at its relaxed geometry (PBE).

Cell: 4.697 4.697 4.697 Å, 60.00 60.00 60.00°
Positions (direct):
P (0.250, 0.250, 0.250)
P (0.750, 0.750, 0.750)
Pt (0.000, 0.000, 0.000)
I (0.500, 0.500, 0.500)

Properties
Relative energy among the computed polymorphs ... 736 meV per atom
Raw formation energy ... 927 meV per atom

***

[2]
Entry from the Alexandria database: crystalline TmMgBeCd at its relaxed geometry (PBE).

Cell: 4.826 4.826 4.826 Å, 60.00 60.00 60.00°
Positions (direct):
Tm (0.000, 0.000, 0.000)
Mg (0.500, 0.500, 0.500)
Be (0.750, 0.750, 0.750)
Cd (0.250, 0.250, 0.250)

Properties
DFT total energy ... -2.690 eV/atom

***

[3]
Entry from the Alexandria database: crystalline PmCdAs at its relaxed geometry (PBE).

Cell: 4.303 4.303 5.037 Å, 90.00 90.00 120.00°
Positions (direct):
Pm (0.000, 0.000, 0.000)
Cd (0.667, 0.333, 0.572)
As (0.333, 0.667, 0.310)

Properties
Relative energy among the computed polymorphs ... 168 meV per atom

***

[4]
Entry from the Alexandria database: crystalline POsBr2 at its relaxed geometry (PBE).

Cell: 8.070 8.070 3.815 Å, 100.17 100.17 22.26°
Positions (direct):
P (0.000, 0.000, 0.000)
Os (0.500, 0.500, 0.500)
Br (0.146, 0.146, 0.769)
Br (0.854, 0.854, 0.231)

Properties
Relative energy among the computed polymorphs ... 544 meV per atom
Raw formation energy ... 481 meV per atom

***

[5]
Entry from the Alexandria database: crystalline Tl5HgH6 at its relaxed geometry (PBE).

Cell: 6.599 6.599 6.355 Å, 97.60 97.60 122.74°
Positions (direct):
Tl (0.000, 0.000, 0.000)
Tl (0.175, 0.825, 0.500)
Tl (0.342, 0.658, 0.000)
Tl (0.658, 0.342, 0.000)
Tl (0.825, 0.175, 0.500)
Hg (0.500, 0.500, 0.500)
H (0.005, 0.414, 0.197)
H (0.279, 0.279, 0.600)
H (0.414, 0.005, 0.197)
H (0.586, 0.995, 0.803)
H (0.721, 0.721, 0.400)
H (0.995, 0.586, 0.803)

Properties
DFT total energy ... -2.323 eV/atom

***

[6]
Entry from the Alexandria database: crystalline YTaOs at its relaxed geometry (PBE).

Cell: 4.451 4.451 6.760 Å, 90.00 90.00 90.00°
Positions (direct):
Y (0.250, 0.250, 0.143)
Y (0.750, 0.750, 0.857)
Ta (0.250, 0.750, 0.500)
Ta (0.750, 0.250, 0.500)
Os (0.250, 0.250, 0.699)
Os (0.750, 0.750, 0.301)

Properties
Relative energy among the computed polymorphs ... 0 meV per atom

***

[7]
Entry from the Alexandria database: crystalline NbCu3Se2F6 at its relaxed geometry (PBE).

Cell: 7.642 7.642 4.878 Å, 104.01 104.01 57.68°
Positions (direct):
Nb (0.000, 0.000, 0.000)
Cu (0.000, 0.500, 0.000)
Cu (0.500, 0.000, 0.000)
Cu (0.500, 0.500, 0.500)
Se (0.340, 0.340, 0.191)
Se (0.660, 0.660, 0.809)
F (0.100, 0.100, 0.779)
F (0.107, 0.731, 0.760)
F (0.269, 0.893, 0.240)
F (0.731, 0.107, 0.760)
F (0.893, 0.269, 0.240)
F (0.900, 0.900, 0.221)

Properties
Raw formation energy ... -1611 meV per atom

***

[8]
Entry from the Alexandria database: crystalline Ge2ClF at its relaxed geometry (PBE).

Cell: 8.668 8.668 8.668 Å, 149.12 149.12 44.23°
Positions (direct):
Ge (0.009, 0.625, 0.884)
Ge (0.375, 0.259, 0.384)
Ge (0.741, 0.125, 0.116)
Ge (0.875, 0.991, 0.616)
Cl (0.250, 0.750, 0.500)
Cl (0.500, 0.500, 0.000)
F (0.000, 0.000, 0.000)
F (0.750, 0.250, 0.500)

Properties
Relative energy among the computed polymorphs ... 0 meV per atom
Raw formation energy ... -597 meV per atom

***

[9]
Entry from the Alexandria database: crystalline CsTc3Sb at its relaxed geometry (PBE).

Cell: 5.144 5.144 5.144 Å, 90.00 90.00 90.00°
Positions (direct):
Cs (0.000, 0.000, 0.000)
Tc (0.000, 0.500, 0.500)
Tc (0.500, 0.000, 0.500)
Tc (0.500, 0.500, 0.000)
Sb (0.500, 0.500, 0.500)

Properties
Relative energy among the computed polymorphs ... 0 meV per atom
Raw formation energy ... 1841 meV per atom

***

[10]
Entry from the Alexandria database: crystalline CrBiRh2 at its relaxed geometry (PBE).

Cell: 9.354 9.354 9.354 Å, 154.73 154.73 36.04°
Positions (direct):
Cr (0.000, 0.000, 0.000)
Cr (0.750, 0.250, 0.500)
Bi (0.250, 0.750, 0.500)
Bi (0.500, 0.500, 0.000)
Rh (0.088, 0.625, 0.963)
Rh (0.375, 0.338, 0.463)
Rh (0.662, 0.125, 0.037)
Rh (0.875, 0.912, 0.537)

Properties
DFT total energy ... -6.615 eV/atom

***

[11]
Entry from the Alexandria database: crystalline Li2CaOs at its relaxed geometry (PBE).

Cell: 6.209 6.209 6.209 Å, 154.25 130.72 56.42°
Positions (direct):
Li (0.208, 0.208, 0.000)
Li (0.792, 0.792, 0.000)
Ca (0.500, 0.000, 0.500)
Os (0.000, 0.500, 0.500)

Properties
Relative energy among the computed polymorphs ... 31 meV per atom

***

[12]
Entry from the Alexandria database: crystalline Mn2HRhW at its relaxed geometry (PBE).

Cell: 3.812 3.812 3.741 Å, 90.00 90.00 90.00°
Positions (direct):
Mn (0.000, 0.500, 0.000)
Mn (0.500, 0.000, 0.000)
H (0.000, 0.000, 0.000)
Rh (0.000, 0.000, 0.500)
W (0.500, 0.500, 0.500)

Properties
Relative energy among the computed polymorphs ... 0 meV per atom

***

Computed volume, in the same sequence as the records: 73; 79; 81; 93; 224; 134; 231; 171; 136; 149; 78; 54 Å³ per cell.